Run i
Compound: CsHgPb
Source: the Open Quantum Materials Database
Functional: GGA-PBE
Structure: relaxed

- V (Å³ per cell) = 132.17
- theoretical density (Mg/m³) = 6.79

abc: 5.7176 5.7176 5.7176
angles: 60.00 60.00 60.00
Sites, in units of the cell vectors:
Cs 0.2500 0.2500 0.2500
Hg 0.0000 0.0000 0.0000
Pb 0.7500 0.7500 0.7500


Run ii
Compound: CsHgPb
Source: the Open Quantum Materials Database
Functional: GGA-PBE
Structure: relaxed

- V (Å³ per cell) = 151.45
- theoretical density (Mg/m³) = 5.93

abc: 5.9832 5.9832 5.9832
angles: 60.00 60.00 60.00
Sites, in units of the cell vectors:
Cs 0.0000 0.0000 0.0000
Hg 0.2500 0.2500 0.2500
Pb 0.7500 0.7500 0.7500


What should be chosen as the least stable of them? Choose run ii.


Run i
Compound: Cs2Hg2S3
Source: the Open Quantum Materials Database
Functional: GGA-PBE
Structure: relaxed

- V (Å³ per cell) = 349.39
- theoretical density (Mg/m³) = 3.63

abc: 7.5632 7.5632 7.5632
angles: 66.61 66.61 66.61
Sites, in units of the cell vectors:
Cs 0.0000 0.0000 0.0000
Cs 0.5000 0.5000 0.5000
Hg 0.2015 0.2015 0.2015
Hg 0.7985 0.7985 0.7985
S 0.5000 0.0000 0.0000
S 0.0000 0.5000 0.0000
S 0.0000 0.0000 0.5000


Run ii
Compound: Cs2Hg2S3
Source: the Open Quantum Materials Database
Functional: GGA-PBE
Structure: relaxed

- V (Å³ per cell) = 637.50
- theoretical density (Mg/m³) = 3.98

abc: 9.3908 9.3908 9.3908
angles: 109.47 109.47 109.47
Sites, in units of the cell vectors:
Cs 0.0145 0.5000 0.0000
Cs 0.5000 0.0000 0.0145
Cs 0.4855 0.4855 0.4855
Cs 0.0000 0.0145 0.5000
Hg 0.6315 0.5000 0.0000
Hg 0.0000 0.6315 0.5000
Hg 0.5000 0.0000 0.6315
Hg 0.8685 0.8685 0.8685
S 0.7500 0.8080 0.0580
S 0.6920 0.4420 0.2500
S 0.2500 0.6920 0.4420
S 0.4420 0.2500 0.6920
S 0.8080 0.0580 0.7500
S 0.0580 0.7500 0.8080


What should be chosen as the least stable of them? Choose run i.


Run i
Compound: CsSnHg3S4
Source: the Open Quantum Materials Database
Functional: GGA-PBE
Structure: relaxed

- V (Å³ per cell) = 574.15
- theoretical density (Mg/m³) = 5.68

abc: 7.2082 7.9291 10.2061
angles: 90.00 100.18 90.00
Sites, in units of the cell vectors:
Cs 0.2115 0.2500 0.1270
Cs 0.7885 0.7500 0.8730
Hg 0.5317 0.7500 0.2394
Hg 0.7534 0.0408 0.4869
Hg 0.7534 0.4592 0.4869
Hg 0.2466 0.5408 0.5131
Hg 0.2466 0.9592 0.5131
Hg 0.4683 0.2500 0.7606
S 0.2078 0.7500 0.1167
S 0.7979 0.5180 0.2359
S 0.7979 0.9820 0.2359
S 0.4299 0.2500 0.4828
S 0.5701 0.7500 0.5172
S 0.2021 0.0180 0.7641
S 0.2021 0.4820 0.7641
S 0.7922 0.2500 0.8833
Sn 0.0348 0.7500 0.3038
Sn 0.9652 0.2500 0.6962


Run ii
Compound: CsSnHg3S4
Source: the Open Quantum Materials Database
Functional: GGA-PBE
Structure: relaxed

- V (Å³ per cell) = 345.76
- theoretical density (Mg/m³) = 4.71

abc: 7.0187 7.0187 7.0187
angles: 90.00 90.00 90.00
Sites, in units of the cell vectors:
Cs 0.0000 0.0000 0.0000
Hg 0.5000 0.5000 0.0000
Hg 0.5000 0.0000 0.5000
Hg 0.0000 0.5000 0.5000
S 0.3003 0.3003 0.3003
S 0.6997 0.6997 0.3003
S 0.6997 0.3003 0.6997
S 0.3003 0.6997 0.6997
Sn 0.5000 0.5000 0.5000


What should be chosen as the least stable of them? Choose run ii.


Run i
Compound: Cs2Hg2Se3
Source: the Open Quantum Materials Database
Functional: GGA-PBE
Structure: relaxed

- V (Å³ per cell) = 244.97
- theoretical density (Mg/m³) = 6.13

abc: 7.4819 7.4819 7.4819
angles: 52.63 52.63 52.63
Sites, in units of the cell vectors:
Cs 0.0000 0.0000 0.0000
Cs 0.5000 0.5000 0.5000
Hg 0.2956 0.2956 0.2956
Hg 0.7044 0.7044 0.7044
Se 0.5000 0.0000 0.0000
Se 0.0000 0.5000 0.0000
Se 0.0000 0.0000 0.5000


Run ii
Compound: Cs2Hg2Se3
Source: the Open Quantum Materials Database
Functional: GGA-PBE
Structure: relaxed

- V (Å³ per cell) = 576.03
- theoretical density (Mg/m³) = 5.21

abc: 9.0786 9.0786 9.0786
angles: 109.47 109.47 109.47
Sites, in units of the cell vectors:
Cs 0.2580 0.5000 0.0000
Cs 0.2420 0.2420 0.2420
Cs 0.5000 0.0000 0.2580
Cs 0.0000 0.2580 0.5000
Hg 0.6598 0.5000 0.0000
Hg 0.0000 0.6598 0.5000
Hg 0.5000 0.0000 0.6598
Hg 0.8402 0.8402 0.8402
Se 0.7500 0.8364 0.0864
Se 0.6636 0.4136 0.2500
Se 0.2500 0.6636 0.4136
Se 0.4136 0.2500 0.6636
Se 0.8364 0.0864 0.7500
Se 0.0864 0.7500 0.8364


What should be chosen as the least stable of them? Choose run i.


Run i
Compound: CsSrHg
Source: the Open Quantum Materials Database
Functional: GGA-PBE
Structure: relaxed

- V (Å³ per cell) = 173.72
- theoretical density (Mg/m³) = 4.03

abc: 6.2631 6.2631 6.2631
angles: 60.00 60.00 60.00
Sites, in units of the cell vectors:
Cs 0.0000 0.0000 0.0000
Hg 0.2500 0.2500 0.2500
Sr 0.7500 0.7500 0.7500


Run ii
Compound: CsSrHg
Source: the Open Quantum Materials Database
Functional: GGA-PBE
Structure: relaxed

- V (Å³ per cell) = 156.95
- theoretical density (Mg/m³) = 4.46

abc: 6.0547 6.0547 6.0547
angles: 60.00 60.00 60.00
Sites, in units of the cell vectors:
Cs 0.2500 0.2500 0.2500
Hg 0.0000 0.0000 0.0000
Sr 0.7500 0.7500 0.7500


What should be chosen as the least stable of them? Choose run i.


Run i
Compound: CsTlHg
Source: the Open Quantum Materials Database
Functional: GGA-PBE
Structure: relaxed

- V (Å³ per cell) = 151.23
- theoretical density (Mg/m³) = 5.91

abc: 5.9802 5.9802 5.9802
angles: 60.00 60.00 60.00
Sites, in units of the cell vectors:
Cs 0.0000 0.0000 0.0000
Hg 0.2500 0.2500 0.2500
Tl 0.7500 0.7500 0.7500


Run ii
Compound: CsTlHg
Source: the Open Quantum Materials Database
Functional: GGA-PBE
Structure: relaxed

- V (Å³ per cell) = 138.78
- theoretical density (Mg/m³) = 6.44

abc: 5.8115 5.8115 5.8115
angles: 60.00 60.00 60.00
Sites, in units of the cell vectors:
Cs 0.2500 0.2500 0.2500
Hg 0.0000 0.0000 0.0000
Tl 0.7500 0.7500 0.7500


Run iii
Compound: CsTlHg
Source: the Open Quantum Materials Database
Functional: GGA-PBE
Structure: relaxed

- V (Å³ per cell) = 142.72
- theoretical density (Mg/m³) = 6.26

abc: 5.8658 5.8658 5.8658
angles: 60.00 60.00 60.00
Sites, in units of the cell vectors:
Cs 0.2500 0.2500 0.2500
Hg 0.7500 0.7500 0.7500
Tl 0.0000 0.0000 0.0000


What should be chosen as the least stable of them? Choose run i.


Run i
Compound: CsHo
Source: the Open Quantum Materials Database
Functional: GGA-PBE
Structure: relaxed

- spin magnetization (μB per atom) = 0.0071
- V (Å³ per cell) = 111.91
- theoretical density (Mg/m³) = 4.42

abc: 5.4091 5.4091 5.4091
angles: 60.00 60.00 60.00
Sites, in units of the cell vectors:
Cs 0.0000 0.0000 0.0000
Ho 0.5000 0.5000 0.5000


Run ii
Compound: CsHo
Source: the Open Quantum Materials Database
Functional: GGA-PBE
Structure: relaxed

- spin magnetization (μB per atom) = 0.9983
- V (Å³ per cell) = 174.51
- theoretical density (Mg/m³) = 2.83

abc: 6.2725 6.2725 6.2725
angles: 60.00 60.00 60.00
Site moments in Bohr magnetons follow the coordinates.
Sites, in units of the cell vectors:
Cs 0.0000 0.0000 0.0000  0.05
Ho 0.2500 0.2500 0.2500  0.83


What should be chosen as the least stable of them? Choose run ii.